The following is a DFT calculation (PBE) of a geometry-optimized CuSbPbS3 structure.

Calculated values
As for the total energy: -0.15919 Ha/atom. As for the space group: Pmn2_1, No. 31.

abc: 8.223 8.831 7.862
angles: 90.00 90.00 90.00
Fractional positions:
Cu  0.279  0.421  0.242
Cu  0.721  0.921  0.258
Cu  0.721  0.921  0.742
Cu  0.279  0.421  0.758
Pb  0.442  0.676  0.000
Pb  0.072  0.996  0.000
Pb  0.558  0.176  0.500
Pb  0.928  0.496  0.500
S  0.238  0.280  0.000
S  0.769  0.791  0.000
S  0.438  0.977  0.234
S  0.110  0.633  0.237
S  0.890  0.133  0.263
S  0.562  0.477  0.266
S  0.231  0.291  0.500
S  0.762  0.780  0.500
S  0.562  0.477  0.734
S  0.890  0.133  0.737
S  0.110  0.633  0.763
S  0.438  0.977  0.766
Sb  0.508  0.156  0.000
Sb  0.928  0.550  0.000
Sb  0.072  0.050  0.500
Sb  0.492  0.656  0.500